# 1
The following is a DFT calculation (GGA-PBE) of crystalline ZnNi4Rh at its relaxed geometry.

Cell: 4.134 6.476 6.517 Å, 90.00 108.49 90.00°
Last column: magnetic moment on the atom in μB.
Element x y z (fractional)
Zn (0.369, 0.750, 0.738)  -0.02
Zn (0.631, 0.250, 0.262)  -0.02
Ni (0.260, 0.424, 0.520)  0.54
Ni (0.740, 0.576, 0.480)  0.54
Ni (0.260, 0.076, 0.520)  0.54
Ni (0.740, 0.924, 0.480)  0.54
Ni (0.557, 0.750, 0.113)  0.43
Ni (0.443, 0.250, 0.887)  0.43
Ni (0.000, 0.500, 0.000)  0.62
Ni (0.000, 0.000, 0.000)  0.62
Rh (0.159, 0.750, 0.318)  0.51
Rh (0.841, 0.250, 0.682)  0.51

Values from the calculation:
E_form ... 320.3 meV per atom
Symmetry ... No. 63
Relative energy among the computed polymorphs ... 287.5 meV per atom
Density ... 8.09 g/cm3

# 2
The following is a DFT calculation (GGA-PBE) of crystalline ZnNiRh2 at its relaxed geometry.

Cell: 4.466 4.466 2.752 Å, 90.00 90.00 103.88°
Element x y z (fractional)
Ni (0.000, 0.500, 0.500)
Zn (0.500, 0.000, 0.500)
Rh (0.000, 0.000, 0.000)
Rh (0.500, 0.500, 0.000)

Values from the calculation:
E_form ... -108.3 meV per atom
Symmetry ... No. 65
Density ... 10.28 g/cm3

# 3
The following is a DFT calculation (GGA-PBE) of crystalline ZnNiRh2 at its relaxed geometry.

Cell: 2.727 2.727 8.553 Å, 80.83 80.83 60.00°
Last column: magnetic moment on the atom in μB.
Element x y z (fractional)
Zn (0.667, 0.667, 0.000)  -0.01
Ni (0.500, 0.500, 0.500)  0.89
Rh (0.085, 0.085, 0.745)  0.39
Rh (0.248, 0.248, 0.255)  0.40

Values from the calculation:
E_form ... -73.3 meV per atom
Symmetry ... No. 160
Density ... 10.12 g/cm3

| no. | calculated volume (Å³/cell) |
| --- | --- |
| 1 | 165.5 |
| 2 | 53.3 |
| 3 | 54.1 |